No. 1
# ScTiS PBE relaxed
data_ScTiS
_cell_length_a 3.6039
_cell_length_b 4.1311
_cell_length_c 4.1311
_cell_angle_alpha 120.00
_cell_angle_beta 90.00
_cell_angle_gamma 90.00
_space_group_name_H-M_alt 'P 1'
_space_group_IT_number 1
loop_
_space_group_symop_operation_xyz
'x,y,z'
loop_
_atom_site_label
_atom_site_fract_x
_atom_site_fract_y
_atom_site_fract_z
_atom_site_occupancy
Ti1 0.1669 0.3333 0.6667 1
Sc1 0.6679 0.6667 0.3333 1
S1 0.1653 0.0000 0.0000 1
# Total DFT energy (no corrections) (eV/atom): -6.75
# Energy relative to the elements, uncorrected (eV per atom): -0.630
# Crystal system: trigonal
# Fermi-level density of states (states/eV per cell): 2.92

No. 2
# Re3Os4 PBE relaxed
data_Re3Os4
_cell_length_a 9.2653
_cell_length_b 9.2653
_cell_length_c 2.7491
_cell_angle_alpha 98.55
_cell_angle_beta 98.55
_cell_angle_gamma 26.40
_space_group_name_H-M_alt 'P 1'
_space_group_IT_number 1
loop_
_space_group_symop_operation_xyz
'x,y,z'
loop_
_atom_site_label
_atom_site_fract_x
_atom_site_fract_y
_atom_site_fract_z
_atom_site_occupancy
Os1 0.5794 0.5794 0.5792 1
Os2 0.7253 0.7253 0.2253 1
Os3 0.2747 0.2747 0.7747 1
Os4 0.4206 0.4206 0.4208 1
Re1 0.0000 0.0000 0.0000 1
Re2 0.1427 0.1427 0.1424 1
Re3 0.8573 0.8573 0.8576 1
# Total DFT energy (no corrections) (eV/atom): -11.61
# Calculated formation energy (kJ/mol of formula units): 97
# Crystal system: orthorhombic
# Fermi-level density of states (states/eV per cell): 4.95

No. 3
# BaTaCuS4 PBE relaxed
data_BaTaCuS4
_cell_length_a 5.5405
_cell_length_b 7.2836
_cell_length_c 9.4953
_cell_angle_alpha 90.00
_cell_angle_beta 107.72
_cell_angle_gamma 90.00
_space_group_name_H-M_alt 'P 1'
_space_group_IT_number 1
loop_
_space_group_symop_operation_xyz
'x,y,z'
loop_
_atom_site_label
_atom_site_fract_x
_atom_site_fract_y
_atom_site_fract_z
_atom_site_occupancy
S1 0.5190 0.2500 0.5180 1
S2 0.1143 0.9951 0.7240 1
S3 0.7332 0.2500 0.9263 1
S4 0.4810 0.7500 0.4820 1
S5 0.8857 0.4951 0.2760 1
S6 0.8857 0.0049 0.2760 1
S7 0.1143 0.5049 0.7240 1
S8 0.2668 0.7500 0.0737 1
Ba1 0.3422 0.2500 0.1636 1
Ba2 0.6578 0.7500 0.8364 1
Ta1 0.8706 0.2500 0.7175 1
Ta2 0.1294 0.7500 0.2825 1
Cu1 0.6303 0.7500 0.2814 1
Cu2 0.3697 0.2500 0.7186 1
# Total DFT energy (no corrections) (eV/atom): -6.04
# Energy relative to the elements, uncorrected (eV per atom): -1.133
# Crystal system: monoclinic